(1)
Entry from the Alexandria database: a relaxed NaTi2V crystal (PBE).

Unit cell a=4.6627 b=4.6627 c=4.6627 alpha=60.00 beta=60.00 gamma=60.00
Closest atoms and distances in Å follow each position.
Element x y z (fractional)
V: 0.5000 0.5000 0.5000  8 Ti 2.86
Ti: 0.7500 0.7500 0.7500  4 Na 2.86, 4 V 2.86
Ti: 0.2500 0.2500 0.2500  4 Na 2.86, 4 V 2.86
Na: 0.0000 0.0000 0.0000  8 Ti 2.86

Computed properties:
- E above lowest polymorph (kJ per mole of atoms) = 0.0
- energy relative to the elements (eV per atom) = 0.719


(2)
Entry from the Alexandria database: a relaxed ErPu2Ge crystal (PBE).

Unit cell a=4.9602 b=4.3723 c=4.3723 alpha=90.00 beta=90.00 gamma=90.00
Closest atoms and distances in Å follow each position.
Element x y z (fractional)
Er: 0.5000 0.5000 0.5000  4 Ge 3.09, 8 Pu 3.31
Pu: 0.0000 0.5000 0.0000  4 Pu 3.09, 4 Ge 3.31, 4 Er 3.31
Pu: 0.0000 0.0000 0.5000  4 Pu 3.09, 4 Er 3.31, 4 Ge 3.31
Ge: 0.5000 0.0000 0.0000  4 Er 3.09, 8 Pu 3.31

Computed properties:
- E above lowest polymorph (kJ per mole of atoms) = 0.0
- energy relative to the elements (eV per atom) = -0.289


(3)
Entry from the Alexandria database: a relaxed CsScTl2F6 crystal (PBE).

Unit cell a=6.3228 b=7.1774 c=9.4502 alpha=90.00 beta=89.43 gamma=90.00
Closest atoms and distances in Å follow each position.
Element x y z (fractional)
F: 0.5984 0.0982 0.3062  1 Sc 2.05
F: 0.8538 0.7205 0.9038  1 Sc 2.05
F: 0.1462 0.2795 0.0962  1 Sc 2.05
F: 0.9016 0.5982 0.1938  1 Sc 2.05
F: 0.6462 0.2205 0.5962  1 Sc 2.05
F: 0.4016 0.9018 0.6938  1 Sc 2.05
F: 0.2818 0.6411 0.0142  1 Sc 2.06
F: 0.3538 0.7795 0.4038  1 Sc 2.05
F: 0.0984 0.4018 0.8062  1 Sc 2.05
F: 0.7182 0.3589 0.9858  1 Sc 2.06
F: 0.2182 0.1411 0.4858  1 Sc 2.06
F: 0.7818 0.8589 0.5142  1 Sc 2.06
Tl: 0.4923 0.4680 0.2290  6 F 2.74-2.91
Tl: 0.9923 0.0320 0.7290  6 F 2.74-2.91
Tl: 0.5077 0.5320 0.7710  6 F 2.74-2.91
Tl: 0.0077 0.9680 0.2710  6 F 2.74-2.91
Sc: 0.0000 0.5000 0.0000  6 F 2.05-2.06
Sc: 0.5000 0.0000 0.5000  6 F 2.05-2.06
Cs: 0.5000 0.0000 0.0000  6 F 2.92-3.13
Cs: 0.0000 0.5000 0.5000  6 F 2.92-3.13

Computed properties:
- energy relative to the elements, uncorrected (eV per atom) = -2.888


(4)
Entry from the Alexandria database: a relaxed Sm5Se4S crystal (PBE).

Unit cell a=4.1320 b=4.1320 c=15.0179 alpha=97.91 beta=97.91 gamma=90.00
Closest atoms and distances in Å follow each position.
Element x y z (fractional)
Se: 0.3989 0.3989 0.7978  6 Sm 2.93-3.03
Se: 0.1960 0.1960 0.3920  6 Sm 2.93-3.01
Se: 0.8040 0.8040 0.6080  6 Sm 2.93-3.01
Se: 0.6011 0.6011 0.2022  6 Sm 2.93-3.03
Sm: 0.5000 0.5000 0.0000  4 S 2.92, 2 Se 2.98
Sm: 0.7039 0.7039 0.4079  6 Se 2.93-3.03
Sm: 0.0940 0.0940 0.1880  1 S 2.77, 5 Se 2.93-3.01
Sm: 0.2961 0.2961 0.5921  6 Se 2.93-3.03
Sm: 0.9060 0.9060 0.8120  1 S 2.77, 5 Se 2.93-3.01
S: 0.0000 0.0000 0.0000  6 Sm 2.77-2.92

Computed properties:
- energy relative to the elements, uncorrected (eV per atom) = -1.851


The evaluated size of the total moment for the records listed, in turn: 2.8; 11.9; 0.0; 0.0 μB/f.u..
The evaluated calculated volume for the records listed, in turn: 71.7; 94.8; 214.4; 251.5 Å³/f.u..